Here is an optimized crystal structure of BPtW from the Alexandria database. Energies are from GGA-PBE.

The calculation puts the energy of formation from the pure elements at -19 kJ/mol of atoms. The excess energy over the best structure of this formula in the dataset comes out at 0.35 eV per formula unit. For the mass density, the calculation gives 17.0 g/cm3. Its total magnetization is 0.0 μB/cell. The value obtained for the density of states at the Fermi level is 0.687 states/eV/atom.

Cell: 3.0378 3.0378 28.5249 Å, 90.00 90.00 120.00°
Space group R3m (No. 160, hexagonal axes)
Unique sites:
B (0.0000, 0.0000, 0.0000)
B (0.0000, 0.0000, 0.3333)
Pt (0.0000, 0.0000, 0.2067)
Pt (0.0000, 0.0000, 0.4599)
W (0.0000, 0.0000, 0.6137)
W (0.0000, 0.0000, 0.7197)